Material: Ti2AlSn2
Method: DFT, PBE
State: optimized geometry

Results
- Energy relative to the lowest polymorph listed for this composition: 154.0 meV/atom
- Density of states at the Fermi level: 8.46 states/eV per cell

a = 7.2329 Å, b = 7.2329 Å, c = 3.8100 Å
α = 90.00°, β = 90.00°, γ = 90.00°
Sites, in units of the cell vectors:
Al 0.0000 0.0000 0.0000
Al 0.5000 0.5000 0.0000
Sn 0.3533 0.8533 0.0000
Sn 0.8533 0.6467 0.0000
Sn 0.6467 0.1467 0.0000
Sn 0.1467 0.3533 0.0000
Ti 0.1524 0.6524 0.5000
Ti 0.6524 0.8476 0.5000
Ti 0.8476 0.3476 0.5000
Ti 0.3476 0.1524 0.5000


Material: Ti12Al3Sn
Method: DFT, PBE
State: optimized geometry

Results
- E_tot: -7.106 eV per atom
- Density of states at the Fermi level: 21.93 states/eV per cell

a = 5.1400 Å, b = 5.1410 Å, c = 10.2927 Å
α = 90.00°, β = 90.00°, γ = 90.00°
Sites, in units of the cell vectors:
Ti 0.5000 0.0000 0.3705
Ti 0.5000 0.0000 0.8769
Ti 0.7508 0.5000 0.0000
Ti 0.7439 0.5000 0.5000
Ti 0.0000 0.7478 0.2454
Ti 0.0000 0.7478 0.7546
Ti 0.5000 0.0000 0.1231
Ti 0.5000 0.0000 0.6295
Ti 0.2492 0.5000 0.0000
Ti 0.2561 0.5000 0.5000
Ti 0.0000 0.2522 0.2454
Ti 0.0000 0.2522 0.7546
Al 0.5000 0.5000 0.2507
Al 0.5000 0.5000 0.7493
Al 0.0000 0.0000 0.0000
Sn 0.0000 0.0000 0.5000


Material: Ti4AlSn
Method: DFT, PBE
State: optimized geometry

Results
- Energy relative to the lowest polymorph listed for this composition: 0.0 meV/atom
- Density of states at the Fermi level: 3.80 states/eV per cell

a = 3.0879 Å, b = 5.1969 Å, c = 7.3851 Å
α = 102.87°, β = 77.93°, γ = 72.72°
Sites, in units of the cell vectors:
Ti 0.8422 0.4886 0.8271
Ti 0.3272 0.0046 0.3409
Ti 0.1578 0.5114 0.1729
Ti 0.6728 0.9954 0.6591
Al 0.5000 0.5000 0.5000
Sn 0.0000 0.0000 0.0000


Material: TiAl2Sn
Method: DFT, PBE
State: optimized geometry

Results
- E_tot: -4.958 eV per atom
- Density of states at the Fermi level: 3.46 states/eV per cell

a = 4.1100 Å, b = 4.1777 Å, c = 4.1777 Å
α = 90.00°, β = 90.00°, γ = 90.00°
Sites, in units of the cell vectors:
Al 0.0000 0.0000 0.5000
Al 0.0000 0.5000 0.0000
Sn 0.5000 0.5000 0.5000
Ti 0.5000 0.0000 0.0000


Ρ readings, ordered: 6.0 4.7 5.3 5.1 g/cm3